Material: Na3V3O8
Method: DFT, PBE+U
State: relaxed

Calculated values
Crystal system ... monoclinic
Distance to the lowest polymorph of the same formula ... 0.00 eV/f.u.
M_tot ... 8.00 Bohr magnetons per cell
DOS at the Fermi energy ... 0.0000 states/eV per atom

abc: 16.653 5.735 9.172
angles: 90.00 121.78 90.00
Space group C2/c (No. 15)
Unique sites:
Na  0.000  0.249  0.250 x4
Na  0.122  0.251  0.687 x8
V  0.139  0.250  0.039 x8
V  0.250  0.250  0.500 x4
O  0.033  0.250  0.023 x8
O  0.147  0.497  0.434 x8
O  0.148  0.002  0.434 x8
O  0.225  0.250  0.254 x8